1.
Below is a relaxed structure of PrNdTeAu, with properties calculated at the PBE level.

a b c (Å): 4.3278 4.3278 8.0627
angles (deg): 74.43 74.43 60.00
Fractional positions:
Pr  0.7449  0.7449  0.7654
Nd  0.2552  0.2552  0.2345
Te  0.5007  0.5007  0.4978
Au  0.9992  0.9992  0.0023

Volume   124.34 Å³/cell
SG   No. 160
Raw total energy   -20.19 eV per cell

=====

2.
Below is a relaxed structure of Sm7Si2Sn2, with properties calculated at the PBE level.

a b c (Å): 7.0336 7.0362 7.0336
angles (deg): 90.00 105.69 90.00
Fractional positions:
Sm  0.9998  0.2696  0.5003
Sm  0.5003  0.7304  0.9998
Sm  0.0002  0.7304  0.4997
Sm  0.4997  0.2696  0.0002
Sm  0.0000  0.0000  0.0000
Sm  0.5002  0.7565  0.4998
Sm  0.4998  0.2435  0.5002
Si  0.7254  0.0000  0.2746
Si  0.2746  0.0000  0.7254
Sn  0.8225  0.5000  0.8225
Sn  0.1775  0.5000  0.1775

Volume   335.13 Å³/cell
SG   No. 65
Raw total energy   -56.20 eV per cell

=====

3.
Below is a relaxed structure of Tm8Ni2Rh, with properties calculated at the PBE level.

a b c (Å): 5.7487 7.3976 7.3976
angles (deg): 113.77 99.89 99.89
Fractional positions:
Tm  0.5808  0.3401  0.0819
Tm  0.5808  0.0819  0.3401
Tm  0.1700  0.3653  0.3653
Tm  0.9898  0.2194  0.7857
Tm  0.9898  0.7857  0.2194
Tm  0.8128  0.6409  0.6409
Tm  0.3884  0.9236  0.6663
Tm  0.3884  0.6663  0.9236
Ni  0.4910  0.6974  0.3101
Ni  0.4910  0.3101  0.6974
Rh  0.1168  0.0032  0.0032

Volume   273.29 Å³/cell
E_form   -0.269 eV/atom
ΔE to the lowest computed polymorph   0.0836 eV/atom
SG   No. 8
Raw total energy   -57.64 eV per cell

=====

4.
Below is a relaxed structure of Tm2Pd6Pt, with properties calculated at the PBE level.

a b c (Å): 4.1901 6.2010 6.6899
angles (deg): 83.93 71.75 70.25
Fractional positions:
Tm  0.3515  0.5000  0.7970
Tm  0.6485  0.5000  0.2030
Pd  0.9960  0.1681  0.8398
Pd  0.3359  0.1681  0.1602
Pd  0.6641  0.8319  0.8398
Pd  0.3256  0.8489  0.5000
Pd  0.6744  0.1511  0.5000
Pd  0.0040  0.8319  0.1602
Pt  0.0000  0.5000  0.5000

Volume   155.37 Å³/cell
E_form   -0.717 eV/atom
ΔE to the lowest computed polymorph   0.0000 eV/atom
SG   No. 69
Raw total energy   -52.59 eV per cell

=====

5.
Below is a relaxed structure of Ho2Co2CuNi5, with properties calculated at the PBE level.

a b c (Å): 3.7919 8.6050 8.6050
angles (deg): 90.00 90.00 90.00
Site moments in Bohr magnetons follow the coordinates.
Fractional positions:
Ho  0.0000  0.6833  0.1833  -0.14
Ho  0.0000  0.3167  0.8167  -0.14
Ho  0.0000  0.1833  0.3167  -0.14
Ho  0.0000  0.8167  0.6833  -0.14
Co  0.0000  0.1126  0.6126  1.07
Co  0.0000  0.8874  0.3874  1.07
Co  0.0000  0.6126  0.8874  1.07
Co  0.0000  0.3874  0.1126  1.07
Cu  0.0000  0.0000  0.0000  0.01
Cu  0.0000  0.5000  0.5000  0.01
Ni  0.5000  0.2062  0.0587  0.33
Ni  0.5000  0.7938  0.9413  0.33
Ni  0.5000  0.0587  0.7938  0.33
Ni  0.5000  0.7062  0.4413  0.33
Ni  0.5000  0.9413  0.2062  0.33
Ni  0.5000  0.2938  0.5587  0.33
Ni  0.5000  0.5587  0.7062  0.33
Ni  0.5000  0.4413  0.2938  0.33
Ni  0.5000  0.5000  0.0000  0.39
Ni  0.5000  0.0000  0.5000  0.39

Volume   280.77 Å³/cell
E_form   -0.141 eV/atom
SG   No. 127
Raw total energy   -115.55 eV per cell

=====

6.
Below is a relaxed structure of KLi2Si, with properties calculated at the PBE level.

a b c (Å): 4.5343 4.5343 6.4045
angles (deg): 69.22 69.22 59.95
Site moments in Bohr magnetons follow the coordinates.
Fractional positions:
K  0.2500  0.2500  0.2500  0.01
Li  0.0624  0.0624  0.8127  0.01
Li  0.4376  0.4376  0.6873  0.01
Si  0.7500  0.7500  0.7500  0.15

Volume   103.98 Å³/cell
SG   No. 166
Raw total energy   -10.32 eV per cell